No. 1
Pu6In23 (GGA-PBE, relaxed); space-group type = Fm-3m, No. 225; raw total energy = -5.20 eV per atom; V = 26.67 A^3/atom
1.0
0.000 7.286 7.286
7.286 0.000 7.286
7.286 7.286 0.000
Pu In
6 23
Cartesian
7.286 7.286 3.304
7.286 3.304 7.286
11.267 7.286 7.286
3.304 7.286 7.286
7.286 11.267 7.286
7.286 7.286 11.267
0.000 0.000 0.000
3.643 3.643 0.000
3.643 0.000 3.643
7.286 3.643 3.643
2.140 2.140 2.140
5.145 5.145 2.140
5.145 2.140 5.145
8.955 5.616 5.616
5.616 5.616 5.616
8.955 8.955 5.616
8.955 5.616 8.955
12.431 9.426 9.426
0.000 3.643 3.643
3.643 7.286 3.643
3.643 3.643 7.286
2.140 5.145 5.145
5.616 8.955 5.616
5.616 5.616 8.955
8.955 8.955 8.955
5.616 8.955 8.955
9.426 12.431 9.426
9.426 9.426 12.431
12.431 12.431 12.431

=====

No. 2
Pu3In2 (GGA-PBE, relaxed); space-group type = Cmce, No. 64; raw total energy = -9.61 eV per atom; V = 26.17 A^3/atom
1.0
2.963 -4.500 0.000
2.963 4.500 0.000
0.000 0.000 9.816
Pu In
6 4
Cartesian
0.000 0.000 0.000
1.481 1.049 2.454
1.481 -1.049 7.362
2.963 0.000 4.908
4.444 1.049 2.454
4.444 -1.049 7.362
2.963 3.171 4.269
2.963 1.329 9.177
2.963 -1.329 0.639
2.963 -3.171 5.547

=====

No. 3
Pu3In5 (GGA-PBE, relaxed); space-group type = Cmmm, No. 65; raw total energy = -7.25 eV per atom; V = 25.35 A^3/atom
1.0
4.611 -4.829 0.000
4.611 4.829 0.000
0.000 0.000 4.554
Pu In
3 5
Cartesian
0.000 0.000 0.000
2.215 0.000 2.277
7.007 0.000 2.277
2.305 2.415 0.000
4.611 2.371 2.277
2.305 -2.415 0.000
4.611 0.000 0.000
4.611 -2.371 2.277

=====

No. 4
PuIn4 (GGA-PBE, relaxed); space-group type = Imma, No. 74; V = 25.54 A^3/atom; offset from the most stable computed form = 0 meV per atom
1.0
-2.451 3.314 7.860
2.451 -3.314 7.860
2.451 3.314 -7.860
Pu In
2 8
Cartesian
0.000 1.657 1.672
2.451 1.657 6.188
2.451 0.000 0.000
2.451 -1.657 6.233
2.451 -0.012 3.107
2.451 3.302 -3.107
0.000 0.000 7.860
0.000 0.012 10.967
0.000 3.327 4.753
0.000 4.971 1.627

=====

No. 5
Pu4In3 (GGA-PBE, relaxed); space-group type = P6/mmm, No. 191; raw total energy = -9.40 eV per atom; V = 26.49 A^3/atom
1.0
6.031 0.000 0.000
-3.016 5.223 0.000
0.000 0.000 5.887
Pu In
4 3
Cartesian
0.000 0.000 1.466
0.000 0.000 4.421
0.000 3.482 0.000
3.016 1.741 0.000
-1.508 2.612 2.943
3.016 0.000 2.943
1.508 2.612 2.943

=====

No. 6
PuIn3 (GGA-PBE, relaxed); space-group type = Fm-3m, No. 225; raw total energy = -5.68 eV per atom; V = 26.18 A^3/atom
1.0
0.000 3.741 3.741
3.741 0.000 3.741
3.741 3.741 0.000
Pu In
1 3
Cartesian
0.000 0.000 0.000
1.870 1.870 1.870
3.741 3.741 3.741
5.611 5.611 5.611

=====

No. 7
RbPuIn2 (GGA-PBE, relaxed); space-group type = P4/mmm, No. 123; raw total energy = -5.18 eV per atom; V = 33.06 A^3/atom
1.0
3.712 0.000 0.000
0.000 3.712 0.000
0.000 0.000 9.596
Rb Pu In
1 1 2
Cartesian
0.000 0.000 0.000
0.000 0.000 4.798
1.856 1.856 2.836
1.856 1.856 6.760

=====

No. 8
RbPuIn4 (GGA-PBE, relaxed); space-group type = F-43m, No. 216; raw total energy = -4.38 eV per atom; V = 29.26 A^3/atom
1.0
0.000 4.444 4.444
4.444 0.000 4.444
4.444 4.444 0.000
Rb Pu In
1 1 4
Cartesian
0.000 0.000 0.000
6.666 6.666 6.666
3.339 3.339 3.339
5.550 5.550 3.339
5.550 3.339 5.550
3.339 5.550 5.550

=====

No. 9
Rb2PuInS4 (GGA-PBE, relaxed); space-group type = Imma, No. 74; uncorrected formation energy = -1117.8 meV/atom; V = 27.50 A^3/atom
1.0
-4.243 4.267 6.076
4.243 -4.267 6.076
4.243 4.267 -6.076
Rb Pu In S
4 2 2 8
Cartesian
0.000 0.000 0.000
-2.122 2.133 3.038
0.000 4.267 0.000
2.122 2.133 3.038
4.243 0.000 0.000
0.000 0.000 6.076
2.122 2.133 -3.038
2.122 -2.133 3.038
4.243 -0.363 2.825
4.243 3.904 -2.825
2.450 2.133 -0.229
6.037 2.133 -0.229
-1.794 2.133 6.305
1.794 2.133 6.305
0.000 0.363 8.901
0.000 4.630 3.250

=====

No. 10
Rb2Pu2InS6 (GGA-PBE, relaxed); space-group type = C2/m, No. 12; uncorrected formation energy = -1272.5 meV/atom; V = 29.75 A^3/atom
1.0
3.460 -6.016 0.000
3.460 6.016 0.000
-2.254 0.000 7.859
Rb Pu In S
2 2 1 6
Cartesian
3.460 4.029 0.000
3.460 -4.029 0.000
2.334 2.003 3.929
2.334 -2.003 3.929
-1.127 0.000 3.929
0.025 2.014 5.385
1.117 0.000 2.492
0.025 -2.014 5.385
4.642 2.014 2.474
3.550 0.000 5.367
4.642 -2.014 2.474

=====

No. 11
Rb3Pu3InS8 (GGA-PBE, relaxed); space-group type = R-3m, No. 166; uncorrected formation energy = -1354.0 meV/atom; V = 29.47 A^3/atom
1.0
4.055 2.341 7.758
-4.055 2.341 7.758
0.000 -4.683 7.758
Rb Pu In S
3 3 1 8
Cartesian
-2.028 -1.171 7.758
-2.028 1.171 15.517
0.000 2.341 7.758
-4.055 0.000 11.638
-2.028 1.171 3.879
2.028 1.171 3.879
0.000 0.000 11.638
0.000 0.000 5.331
-2.001 -1.155 13.067
0.000 -2.310 10.208
-2.001 1.155 10.208
2.001 -1.155 13.067
0.000 2.310 13.067
2.001 1.155 10.208
0.000 0.000 17.945

=====

No. 12
Rb2PuInSe4 (GGA-PBE, relaxed); space-group type = Imma, No. 74; uncorrected formation energy = -1060.8 meV/atom; V = 31.24 A^3/atom
1.0
-4.440 4.442 6.336
4.440 -4.442 6.336
4.440 4.442 -6.336
Rb Pu In Se
4 2 2 8
Cartesian
0.000 0.000 0.000
-2.220 2.221 3.168
0.000 4.442 0.000
2.220 2.221 3.168
4.440 0.000 0.000
0.000 0.000 6.336
2.220 2.221 -3.168
2.220 -2.221 3.168
4.440 -0.358 2.947
4.440 4.084 -2.947
2.546 2.221 -0.219
6.334 2.221 -0.219
-1.894 2.221 6.555
1.894 2.221 6.555
0.000 0.358 9.283
0.000 4.801 3.390

=====

No. 13
Rb3Pu2InSe6 (GGA-PBE, relaxed); space-group type = C2/m, No. 12; uncorrected formation energy = -1209.2 meV/atom; V = 31.71 A^3/atom
1.0
3.724 -6.450 0.000
3.724 6.450 0.000
-2.481 0.000 7.922
Rb Pu In Se
3 2 1 6
Cartesian
0.000 0.000 0.000
3.724 2.137 0.000
3.724 -2.137 0.000
2.483 4.299 3.961
2.483 -4.299 3.961
2.483 0.000 3.961
1.250 2.135 2.431
0.019 0.000 5.488
1.250 -2.135 2.431
3.717 2.135 5.491
4.948 0.000 2.434
3.717 -2.135 5.491

=====

No. 14
Rb2PuInSe5 (GGA-PBE, relaxed); space-group type = Cmc2_1, No. 36; uncorrected formation energy = -968.2 meV/atom; V = 34.90 A^3/atom
1.0
2.106 -10.055 0.000
2.106 10.055 0.000
0.000 0.000 14.829
Rb Pu In Se
4 2 2 10
Cartesian
2.106 7.680 7.415
2.106 7.363 1.989
2.106 -7.363 9.404
2.106 -7.680 0.000
2.106 5.980 12.412
2.106 -5.980 4.997
2.106 1.209 3.626
2.106 -1.209 11.041
2.106 8.898 12.701
2.106 4.125 6.806
2.106 3.865 3.052
2.106 3.352 12.183
2.106 0.011 8.853
2.106 -0.011 1.439
2.106 -3.352 4.768
2.106 -3.865 10.467
2.106 -4.125 14.221
2.106 -8.898 5.287

=====

No. 15
Rb3Pu3InSe8 (GGA-PBE, relaxed); space-group type = R-3m, No. 166; uncorrected formation energy = -1245.1 meV/atom; V = 33.31 A^3/atom
1.0
4.226 2.440 8.075
-4.226 2.440 8.075
0.000 -4.880 8.075
Rb Pu In Se
3 3 1 8
Cartesian
-2.113 -1.220 8.075
-2.113 1.220 16.150
0.000 2.440 8.075
-4.226 0.000 12.113
-2.113 1.220 4.038
2.113 1.220 4.038
0.000 0.000 12.113
0.000 0.000 5.594
-2.091 -1.207 13.636
0.000 -2.415 10.590
-2.091 1.207 10.590
2.091 -1.207 13.636
0.000 2.415 13.636
2.091 1.207 10.590
0.000 0.000 18.632

=====

No. 16
RbPuInSe3 (GGA-PBE, relaxed); space-group type = P2_1/m, No. 11; uncorrected formation energy = -1016.2 meV/atom; V = 34.28 A^3/atom
1.0
8.902 0.000 0.000
0.000 4.667 0.000
-3.441 0.000 9.901
Rb Pu In Se
2 2 2 6
Cartesian
1.255 1.167 2.374
4.206 3.500 7.527
-0.142 3.500 8.617
5.603 1.167 1.285
-1.099 1.167 6.108
6.560 3.500 3.794
-2.127 1.167 8.554
0.033 3.500 5.384
3.772 3.500 1.525
1.689 1.167 8.376
5.427 1.167 4.518
7.588 3.500 1.347

=====

No. 17
Rb2PuInTe4 (GGA-PBE, relaxed); space-group type = I-42m, No. 121; uncorrected formation energy = -783.3 meV/atom; V = 39.02 A^3/atom
1.0
-4.483 4.483 3.883
4.483 -4.483 3.883
4.483 4.483 -3.883
Rb Pu In Te
2 1 1 4
Cartesian
4.483 0.000 0.000
0.000 4.483 0.000
0.000 0.000 0.000
0.000 0.000 3.883
2.901 2.901 -1.781
1.582 1.582 2.103
1.582 -1.582 5.664
-1.582 1.582 5.664

=====

No. 18
Pu2InRe (GGA-PBE, relaxed); space-group type = P4/mmm, No. 123; raw total energy = -10.96 eV per atom; V = 22.54 A^3/atom
1.0
3.197 0.000 0.000
0.000 3.197 0.000
0.000 0.000 8.822
Pu In Re
2 1 1
Cartesian
0.000 0.000 1.837
0.000 0.000 6.985
1.598 1.598 4.411
1.598 1.598 0.000

=====

No. 19
Pu3In4Rh4 (GGA-PBE, relaxed); space-group type = Immm, No. 71; raw total energy = -7.97 eV per atom; V = 21.28 A^3/atom
1.0
-1.850 4.134 7.654
1.850 -4.134 7.654
1.850 4.134 -7.654
Pu In Rh
3 4 4
Cartesian
0.000 0.000 0.000
1.850 0.000 6.100
0.000 4.134 1.554
1.850 1.557 -2.610
1.850 1.557 2.610
0.000 2.577 5.044
0.000 2.577 10.264
0.000 0.000 3.923
1.850 2.304 0.000
0.000 1.830 7.654
0.000 0.000 11.385

=====

No. 20
PuIn3Rh2 (GGA-PBE, relaxed); space-group type = Pmc2_1, No. 26; raw total energy = -6.59 eV per atom; V = 20.94 A^3/atom
1.0
3.803 0.000 0.000
0.000 9.156 0.000
0.000 0.000 7.215
Pu In Rh
2 6 4
Cartesian
0.000 0.656 0.000
0.000 8.500 3.608
0.000 2.798 4.615
0.000 6.358 1.007
1.902 1.861 2.392
1.902 3.852 7.052
1.902 5.304 3.444
1.902 7.294 5.999
0.000 3.812 1.963
0.000 5.344 5.571
1.902 0.797 5.170
1.902 8.359 1.562

=====

No. 21
Pu6InRh5 (GGA-PBE, relaxed); space-group type = Immm, No. 71; raw total energy = -10.80 eV per atom; V = 21.02 A^3/atom
1.0
-2.437 3.622 7.147
2.437 -3.622 7.147
2.437 3.622 -7.147
Pu In Rh
6 1 5
Cartesian
2.437 1.684 -2.562
0.000 1.608 0.000
2.437 1.684 2.562
0.000 1.938 4.586
0.000 5.635 0.000
0.000 1.938 9.709
0.000 0.000 7.147
2.437 0.000 0.000
0.000 0.000 2.374
2.437 0.000 5.119
0.000 3.622 2.028
0.000 0.000 11.921